DFT (PBE) results for a geometry-optimized SrMn2Zn structure.

Results
* N(E_F): 1.050 states/eV/atom
* E_tot: -19.41 eV for the cell shown
* space group: No. 123
* spin magnetization: 1.9209 μB/atom
* ΔE_f: 1.88 eV per formula unit

Unit cell a=3.3764 b=3.3764 c=7.4660 alpha=90.00 beta=90.00 gamma=90.00
Positions (direct):
Sr (0.0000, 0.0000, 0.0000)
Mn (0.5000, 0.5000, 0.3258)
Mn (0.5000, 0.5000, 0.6742)
Zn (0.0000, 0.0000, 0.5000)

=====

DFT (PBE) results for a geometry-optimized Sr4MnZn structure.

Results
* N(E_F): 1.389 states/eV/atom
* E_tot: -12.34 eV for the cell shown
* space group: No. 216
* spin magnetization: 0.7518 μB/atom
* ΔE_f: 4.83 eV per formula unit

Unit cell a=7.2380 b=7.2380 c=7.2380 alpha=60.00 beta=60.00 gamma=60.00
Positions (direct):
Sr (0.1247, 0.1247, 0.1247)
Sr (0.1247, 0.1247, 0.6258)
Sr (0.1247, 0.6258, 0.1247)
Sr (0.6258, 0.1247, 0.1247)
Mn (0.7500, 0.7500, 0.7500)
Zn (0.5000, 0.5000, 0.5000)

=====

DFT (PBE) results for a geometry-optimized Sr2ZrMn structure.

Results
* N(E_F): 1.333 states/eV/atom
* E_tot: -18.29 eV for the cell shown
* energy above the most stable polymorph in this dataset: 0.381 eV per atom
* space group: No. 123
* spin magnetization: 1.2218 μB/atom
* ΔE_f: 2.79 eV per formula unit

Unit cell a=3.5650 b=3.5650 c=9.7970 alpha=90.00 beta=90.00 gamma=90.00
Positions (direct):
Sr (0.0000, 0.0000, 0.2286)
Sr (0.0000, 0.0000, 0.7714)
Zr (0.5000, 0.5000, 0.5000)
Mn (0.5000, 0.5000, 0.0000)

=====

DFT (PBE) results for a geometry-optimized SrZrMn2 structure.

Results
* N(E_F): 1.082 states/eV/atom
* E_tot: -26.38 eV for the cell shown
* energy above the most stable polymorph in this dataset: 0.231 eV per atom
* space group: No. 8
* spin magnetization: 1.5084 μB/atom
* ΔE_f: 2.19 eV per formula unit

Unit cell a=5.4294 b=5.4294 c=5.6474 alpha=102.32 beta=102.32 gamma=34.18
Positions (direct):
Sr (0.0000, 0.0000, 0.0000)
Zr (0.2058, 0.2058, 0.6112)
Mn (0.4633, 0.4633, 0.4870)
Mn (0.7649, 0.7649, 0.2400)

=====

DFT (PBE) results for a geometry-optimized SrZrMn2 structure.

Results
* N(E_F): 1.326 states/eV/atom
* E_tot: -26.93 eV for the cell shown
* energy above the most stable polymorph in this dataset: 0.094 eV per atom
* space group: No. 99
* spin magnetization: 0.1783 μB/atom
* ΔE_f: 1.64 eV per formula unit

Unit cell a=3.1751 b=3.1751 c=8.6833 alpha=90.00 beta=90.00 gamma=90.00
Positions (direct):
Sr (0.0000, 0.0000, 0.0000)
Zr (0.5000, 0.5000, 0.3642)
Mn (0.0000, 0.0000, 0.5813)
Mn (0.5000, 0.5000, 0.7063)

=====

DFT (PBE) results for a geometry-optimized Sr2ZrMn structure.

Results
* N(E_F): 1.179 states/eV/atom
* E_tot: -36.19 eV for the cell shown
* energy above the most stable polymorph in this dataset: 0.429 eV per atom
* space group: No. 122
* spin magnetization: 0.3875 μB/atom
* ΔE_f: 2.99 eV per formula unit

Unit cell a=8.6462 b=8.6462 c=8.6462 alpha=94.28 beta=94.28 gamma=148.30
Positions (direct):
Sr (0.3750, 0.2148, 0.3398)
Sr (0.7852, 0.1250, 0.1602)
Sr (0.8750, 0.0352, 0.6602)
Sr (0.9648, 0.6250, 0.8398)
Zr (0.2500, 0.7500, 0.5000)
Zr (0.5000, 0.5000, 0.0000)
Mn (0.0000, 0.0000, 0.0000)
Mn (0.7500, 0.2500, 0.5000)

=====

DFT (PBE) results for a geometry-optimized Sr2ZrMn2 structure.

Results
* N(E_F): 1.303 states/eV/atom
* E_tot: -25.52 eV for the cell shown
* energy above the most stable polymorph in this dataset: 0.177 eV per atom
* space group: No. 139
* spin magnetization: 0.8756 μB/atom
* ΔE_f: 4.73 eV per formula unit

Unit cell a=7.4544 b=7.4544 c=7.4544 alpha=145.74 beta=145.74 gamma=49.24
Positions (direct):
Sr (0.2500, 0.7500, 0.5000)
Sr (0.7500, 0.2500, 0.5000)
Zr (0.0000, 0.0000, 0.0000)
Mn (0.4172, 0.4172, 0.0000)
Mn (0.5828, 0.5828, 0.0000)

=====

DFT (PBE) results for a geometry-optimized SrZrMn2 structure.

Results
* N(E_F): 1.219 states/eV/atom
* E_tot: -27.31 eV for the cell shown
* energy above the most stable polymorph in this dataset: 0.000 eV per atom
* space group: No. 123
* spin magnetization: 1.4887 μB/atom
* ΔE_f: 1.26 eV per formula unit

Unit cell a=3.5205 b=3.5205 c=7.4159 alpha=90.00 beta=90.00 gamma=90.00
Positions (direct):
Sr (0.0000, 0.0000, 0.0000)
Zr (0.0000, 0.0000, 0.5000)
Mn (0.5000, 0.5000, 0.3192)
Mn (0.5000, 0.5000, 0.6808)

=====

Copy entry 2 word for word.
DFT (PBE) results for a geometry-optimized Sr4MnZn structure.

Results
* N(E_F): 1.389 states/eV/atom
* E_tot: -12.34 eV for the cell shown
* space group: No. 216
* spin magnetization: 0.7518 μB/atom
* ΔE_f: 4.83 eV per formula unit

Unit cell a=7.2380 b=7.2380 c=7.2380 alpha=60.00 beta=60.00 gamma=60.00
Positions (direct):
Sr (0.1247, 0.1247, 0.1247)
Sr (0.1247, 0.1247, 0.6258)
Sr (0.1247, 0.6258, 0.1247)
Sr (0.6258, 0.1247, 0.1247)
Mn (0.7500, 0.7500, 0.7500)
Zn (0.5000, 0.5000, 0.5000)